DFT (PBE with a Hubbard U) results for a relaxed structure of KVO2.

Summary:
Electronic total energy   -6.38 eV/atom

a = 5.9841 Å, b = 3.6220 Å, c = 10.4060 Å
α = 90.00°, β = 90.00°, γ = 90.00°
Closest atoms and distances in Å follow each position.
Space group Pnma (No. 62)
Unique sites:
K 0.0893 0.2500 0.1230  7 O 2.69-3.00
V 0.0693 0.7500 0.3770  4 O 1.90-2.09
O 0.1436 0.2500 0.4521  3 V 2.02-2.19
O 0.1606 0.2500 0.7494  2 V 1.90-2.09